# GGA-PBE KMnBr2Cl, optimized geometry
data_KMnBr2Cl
_symmetry_space_group_name_H-M 'I 4 c m'
_symmetry_Int_Tables_number 108
_symmetry_space_group_name_Hall 'I 4 -2c'
_cell_length_a 7.209
_cell_length_b 7.209
_cell_length_c 11.402
_cell_angle_alpha 90.00
_cell_angle_beta 90.00
_cell_angle_gamma 90.00
loop_
_atom_site_label
_atom_site_type_symbol
_atom_site_fract_x
_atom_site_fract_y
_atom_site_fract_z
K1 K 0.000 0.500 0.000
Mn1 Mn 0.000 0.000 0.286
Br1 Br 0.190 0.310 0.245
Cl1 Cl 0.000 0.000 0.493
# - crystal system = tetragonal
# - uncorrected formation energy (meV per atom) = -1226


# GGA-PBE Sc2Fe5B2Mo, optimized geometry
data_Sc2Fe5B2Mo
_symmetry_space_group_name_H-M 'P 4/m b m'
_symmetry_Int_Tables_number 127
_symmetry_space_group_name_Hall '-P 4 2ab'
_cell_length_a 8.895
_cell_length_b 8.895
_cell_length_c 2.922
_cell_angle_alpha 90.00
_cell_angle_beta 90.00
_cell_angle_gamma 90.00
loop_
_atom_site_label
_atom_site_type_symbol
_atom_site_fract_x
_atom_site_fract_y
_atom_site_fract_z
Sc1 Sc 0.175 0.325 0.000
Fe1 Fe 0.000 0.500 0.500
Fe2 Fe 0.068 0.781 0.500
B1 B 0.119 0.619 0.000
Mo1 Mo 0.000 0.000 0.000
# - DOS(E_F) (states/eV per atom) = 1.031
# - crystal system = tetragonal
# - formation enthalpy at 0 K (eV per formula unit) = -3.14